Below is an optimized crystal structure of CrSi2CO, with properties calculated at the PBE with a Hubbard U level.

Cell and atoms, written as POSCAR:
```
CrSi2CO
1.0
4.7346 0.0000 0.0000
0.0000 4.7346 0.0000
0.0000 0.0000 3.4858
Cr Si C O
1 2 1 1
Direct
0.0000 0.0000 0.0000
0.0000 0.5000 0.0000
0.5000 0.0000 0.0000
0.5000 0.5000 0.5000
0.0000 0.0000 0.5000
```

As for the spin magnetization: 2.64 μB/f.u. Its raw total energy is -5.109 eV/atom. The value obtained for the volume is 78.1 Å³/cell.